[1]
The following is a GGA-PBE calculation of a relaxed structure of Os2AuCl, from Alexandria via LeMat-Bulk.

Computed properties:
polymorph energy (0 for the lowest one) = 1109 meV/atom
DOS at the Fermi energy = 10.03 states/eV per cell
calculated total energy = -5.460 eV per atom

Lattice parameters (Å, degrees): 5.8714 7.7810 2.7735 90.00 90.00 90.00
Space group Cmmm (No. 65)
Inequivalent atoms, fractional coordinates:
Os 0.2500 0.2500 0.0000 x4
Au 0.0000 0.0000 0.5000 x2
Cl 0.0000 0.5000 0.5000 x2

[2]
The following is a GGA-PBE calculation of a relaxed structure of Li2AgMo, from Alexandria via LeMat-Bulk.

Computed properties:
polymorph energy (0 for the lowest one) = 0 meV/atom
DOS at the Fermi energy = 7.02 states/eV per cell
calculated total energy = -4.203 eV per atom
formation energy = 0.175 eV/atom

Lattice parameters (Å, degrees): 3.0955 4.3441 9.4240 90.00 90.00 90.00
Space group Cmmm (No. 65)
Inequivalent atoms, fractional coordinates:
Li 0.0000 0.0000 0.2477 x4
Ag 0.0000 0.5000 0.0000 x2
Mo 0.0000 0.5000 0.5000 x2

[3]
The following is a GGA-PBE calculation of a relaxed structure of TlF, from Alexandria via LeMat-Bulk.

Computed properties:
polymorph energy (0 for the lowest one) = 78 meV/atom
DOS at the Fermi energy = 0.00 states/eV per cell
calculated total energy = -3.797 eV per atom

Lattice parameters (Å, degrees): 7.5507 7.5507 7.5507 90.00 90.00 90.00
Space group Pm-3n (No. 223)
Inequivalent atoms, fractional coordinates:
Tl 0.0000 0.2500 0.5000 x6
F 0.0000 0.5000 0.2500 x6

Look up the DOS at the Fermi energy of the third one.
0.00 states/eV per cell